Record 1
Material: Pm2TmMn
Method: DFT, GGA-PBE
State: optimized geometry

The structure in POSCAR format:
```
Pm2TmMn
1.0
1.708 0.986 11.608
-1.708 0.986 11.608
0.000 -1.972 11.608
Pm Tm Mn
2 1 1
Direct
0.083 0.083 0.083
0.917 0.917 0.917
0.500 0.500 0.500
0.000 0.000 0.000
```

Properties
* DFT formation energy: 0.53 eV per atom
* raw total energy: -5.256 eV per atom
* spin magnetization: 3.357 Bohr magnetons per cell
* excess energy over the best structure of this formula in the dataset: 358.4 meV per atom

---

Record 2
Material: PmUMn2
Method: DFT, GGA-PBE
State: optimized geometry

The structure in POSCAR format:
```
PmUMn2
1.0
1.627 0.940 8.139
-1.627 0.940 8.139
0.000 -1.879 8.139
Pm U Mn
1 1 2
Direct
0.000 0.000 0.000
0.500 0.500 0.500
0.233 0.233 0.233
0.767 0.767 0.767
```

Properties
* DFT formation energy: 0.37 eV per atom
* raw total energy: -8.223 eV per atom
* spin magnetization: 0.001 Bohr magnetons per cell
* excess energy over the best structure of this formula in the dataset: 213.0 meV per atom

---

Record 3
Material: PmUMn2
Method: DFT, GGA-PBE
State: optimized geometry

The structure in POSCAR format:
```
PmUMn2
1.0
3.284 0.000 0.000
0.000 3.284 0.000
0.000 0.000 7.128
Pm U Mn
1 1 2
Direct
0.000 0.000 0.000
0.000 0.000 0.500
0.500 0.500 0.315
0.500 0.500 0.685
```

Properties
* DFT formation energy: 0.16 eV per atom
* raw total energy: -8.436 eV per atom
* spin magnetization: 1.625 Bohr magnetons per cell
* excess energy over the best structure of this formula in the dataset: 0.0 meV per atom

---

Record 4
Material: PmMnV2
Method: DFT, GGA-PBE
State: optimized geometry

The structure in POSCAR format:
```
PmMnV2
1.0
1.925 1.111 5.834
-1.925 1.111 5.834
0.000 -2.222 5.834
Pm Mn V
1 1 2
Direct
0.000 0.000 0.000
0.500 0.500 0.500
0.208 0.208 0.208
0.792 0.792 0.792
```

Properties
* DFT formation energy: 0.29 eV per atom
* raw total energy: -7.752 eV per atom
* spin magnetization: 0.000 Bohr magnetons per cell

---

Record 5
Material: PmY2Mn
Method: DFT, GGA-PBE
State: optimized geometry

The structure in POSCAR format:
```
PmY2Mn
1.0
3.528 0.000 0.000
0.000 3.528 0.000
0.000 0.000 8.989
Pm Y Mn
1 2 1
Direct
0.000 0.000 0.000
0.500 0.500 0.305
0.500 0.500 0.695
0.000 0.000 0.500
```

Properties
* DFT formation energy: 0.13 eV per atom
* raw total energy: -6.581 eV per atom
* spin magnetization: 3.159 Bohr magnetons per cell

---

Record 6
Material: PmYMn
Method: DFT, GGA-PBE
State: optimized geometry

The structure in POSCAR format:
```
PmYMn
1.0
-1.772 1.772 6.468
1.772 -1.772 6.468
1.772 1.772 -6.468
Pm Y Mn
1 1 1
Direct
0.000 0.000 0.000
0.273 0.273 0.000
0.640 0.640 0.000
```

Properties
* DFT formation energy: 0.19 eV per atom
* raw total energy: -6.607 eV per atom
* spin magnetization: 2.789 Bohr magnetons per cell
* excess energy over the best structure of this formula in the dataset: 0.0 meV per atom

---

Record 7
Material: PmYMn
Method: DFT, GGA-PBE
State: optimized geometry

The structure in POSCAR format:
```
PmYMn
1.0
5.575 -2.420 0.000
5.575 2.420 0.000
-3.434 0.000 5.888
Pm Y Mn
2 2 2
Direct
0.050 0.050 0.307
0.950 0.950 0.693
0.311 0.311 0.886
0.689 0.689 0.114
0.367 0.367 0.365
0.633 0.633 0.635
```

Properties
* DFT formation energy: 0.20 eV per atom
* raw total energy: -6.598 eV per atom
* spin magnetization: 5.350 Bohr magnetons per cell
* excess energy over the best structure of this formula in the dataset: 8.8 meV per atom

---

Record 8
Material: PmMnZn11
Method: DFT, GGA-PBE
State: optimized geometry

The structure in POSCAR format:
```
PmMnZn11
1.0
2.623 -6.282 0.000
2.623 6.282 0.000
-2.619 0.000 6.329
Pm Mn Zn
1 1 11
Direct
0.000 0.000 0.000
0.500 0.500 0.500
0.000 0.000 0.500
0.000 0.500 0.000
0.018 0.367 0.355
0.282 0.502 0.779
0.367 0.018 0.355
0.498 0.718 0.221
0.500 0.000 0.000
0.502 0.282 0.779
0.633 0.982 0.645
0.718 0.498 0.221
0.982 0.633 0.645
```

Properties
* DFT formation energy: -0.15 eV per atom
* raw total energy: -2.303 eV per atom
* spin magnetization: 3.328 Bohr magnetons per cell